(1)
The following is a PBE calculation of an optimized crystal structure of MgCr2Cl, from the Alexandria database. Values from VASP.

The structure in Quantum ESPRESSO input format:
```
&SYSTEM
  ibrav = 0, nat = 4, ntyp = 3
/
ATOMIC_SPECIES
Mg 24.30 Mg.upf
Cr 52.00 Cr.upf
Cl 35.45 Cl.upf
CELL_PARAMETERS angstrom
0.000 3.423 3.423
3.423 0.000 3.423
3.423 3.423 0.000
ATOMIC_POSITIONS crystal
Mg 0.000 0.000 0.000
Cr 0.250 0.250 0.250
Cr 0.750 0.750 0.750
Cl 0.500 0.500 0.500
```

- ΔE_f (raw) (eV/atom) = 0.7428
- symmetry = Fm-3m (225)


(2)
The following is a PBE calculation of an optimized crystal structure of NaMgCrCl6, from the Alexandria database. Values from VASP.

The structure in Quantum ESPRESSO input format:
```
&SYSTEM
  ibrav = 0, nat = 18, ntyp = 4
/
ATOMIC_SPECIES
Na 22.99 Na.upf
Mg 24.30 Mg.upf
Cr 52.00 Cr.upf
Cl 35.45 Cl.upf
CELL_PARAMETERS angstrom
6.320 0.000 0.000
-3.160 5.473 0.000
0.000 0.000 12.462
ATOMIC_POSITIONS crystal
Na 0.000 0.000 0.000
Na 0.000 0.000 0.500
Mg 0.333 0.667 0.250
Mg 0.667 0.333 0.750
Cr 0.333 0.667 0.750
Cr 0.667 0.333 0.250
Cl 0.017 0.372 0.640
Cl 0.017 0.645 0.860
Cl 0.355 0.372 0.860
Cl 0.355 0.983 0.640
Cl 0.372 0.017 0.140
Cl 0.372 0.355 0.360
Cl 0.628 0.645 0.640
Cl 0.628 0.983 0.860
Cl 0.645 0.017 0.360
Cl 0.645 0.628 0.140
Cl 0.983 0.355 0.140
Cl 0.983 0.628 0.360
```

- ΔE_f (raw) (eV/atom) = -1.5145
- symmetry = P-31c (163)